16
Lattice="7.3748 0.0000 0.0000 0.0000 7.6112 0.1593 -3.6874 -3.6820 5.2184" Properties=species:S:1:pos:R:3 comment="K4La3NpO8, optimized geometry, DFT PBE" raw_formation_energy_ev_per_atom=-2.536 pbc="T T T"
La 1.8437 1.9646 2.6889
La -1.8437 1.9646 2.6889
La 3.6874 3.8056 0.0797
O -1.9079 1.7006 5.1536
O 1.7795 2.2285 0.2241
O 0.0000 3.6059 2.4534
O 0.0000 0.3668 2.8644
O 5.5953 2.2285 0.2241
O 3.6874 0.3233 2.9243
O 1.9079 1.7006 5.1536
O 3.6874 3.5623 2.5134
Np 0.0000 3.8056 0.0797
K 1.8437 -1.8410 2.6092
K 3.6874 0.0000 0.0000
K 0.0000 0.0000 0.0000
K -1.8437 -1.8410 2.6092